Nb2HgPb | PBE-GGA | optimized geometry

As for the electronic total energy: -5.5562 eV per atom. As for the calculated volume: 20.279 Å³ per atom. Its total magnetic moment is 0.000 μB/atom. The formation energy from the elements comes out at 0.48 eV/atom. Its crystal system is cubic. As for the density of states at the Fermi level: 5.39 states/eV/f.u. The theoretical density is 12.2 g/cm3. The calculation puts the energy above the lowest structure with this stoichiometry at 0 meV per atom.

The structure belongs to space group Fm-3m (No. 225); the cell edges are 6.872, 6.872 and 6.872 Å and the angles 90.00°, 90.00° and 90.00°. The distinct sites, in fractional coordinates, are Nb at (0.250, 0.250, 0.250), Hg at (0.000, 0.000, 0.000) and Pb at (0.000, 0.000, 0.500).